Below is a relaxed structure of MnTlRu2F, with properties calculated at the PBE+U level.

The value obtained for the density of states at the Fermi level is 6.73 states/eV/f.u. The total magnetization comes out at 0.65 μB per formula unit. The uncorrected energy comes out at -4.3776 eV per atom.

The structure belongs to space group P4/mmm (No. 123); the cell edges are 5.1147, 5.1147 and 5.3570 Å and the angles 90.00°, 90.00° and 90.00°. Symmetry generates all atoms from Mn at (0.0000, 0.0000, 0.0000), Tl at (0.0000, 0.0000, 0.5000), Ru at (0.0000, 0.5000, 0.5000) and F at (0.5000, 0.5000, 0.0000).